Model a:
# In2FePb (PBEsol, optimized geometry)
# Density of states at the Fermi level: 1.008 states/eV/atom
data_In2FePb
_cell_length_a 4.291
_cell_length_b 4.291
_cell_length_c 9.401
_cell_angle_alpha 90.00
_cell_angle_beta 90.00
_cell_angle_gamma 90.00
_symmetry_space_group_name_H-M 'I 4/m m m'
_symmetry_Int_Tables_number 139
_symmetry_space_group_name_Hall '-I 4 2'
loop_
_atom_site_label
_atom_site_type_symbol
_atom_site_fract_x
_atom_site_fract_y
_atom_site_fract_z
In1 In 0.000 0.500 0.250
Fe1 Fe 0.000 0.000 0.000
Pb1 Pb 0.000 0.000 0.500

Model b:
# In2FePb (PBEsol, optimized geometry)
# Density of states at the Fermi level: 0.793 states/eV/atom
data_In2FePb
_cell_length_a 3.030
_cell_length_b 4.497
_cell_length_c 12.971
_cell_angle_alpha 90.00
_cell_angle_beta 90.00
_cell_angle_gamma 90.00
_symmetry_space_group_name_H-M 'I m m m'
_symmetry_Int_Tables_number 71
_symmetry_space_group_name_Hall '-I 2 2'
loop_
_atom_site_label
_atom_site_type_symbol
_atom_site_fract_x
_atom_site_fract_y
_atom_site_fract_z
In1 In 0.000 0.000 0.185
Fe1 Fe 0.000 0.500 0.500
Pb1 Pb 0.000 0.500 0.000

Model c:
# In2FePb (PBEsol, optimized geometry)
# Density of states at the Fermi level: 1.199 states/eV/atom
data_In2FePb
_cell_length_a 7.111
_cell_length_b 7.111
_cell_length_c 7.111
_cell_angle_alpha 90.00
_cell_angle_beta 90.00
_cell_angle_gamma 90.00
_symmetry_space_group_name_H-M 'F m -3 m'
_symmetry_Int_Tables_number 225
_symmetry_space_group_name_Hall '-F 4 2 3'
loop_
_atom_site_label
_atom_site_type_symbol
_atom_site_fract_x
_atom_site_fract_y
_atom_site_fract_z
In1 In 0.250 0.250 0.250
Fe1 Fe 0.000 0.000 0.000
Pb1 Pb 0.000 0.000 0.500

model b comes first in stability; the runner-up is 14.5 kJ/mol of atoms higher.

Model a:
# In2FeRe (PBEsol, optimized geometry)
# Density of states at the Fermi level: 1.291 states/eV/atom
data_In2FeRe
_cell_length_a 2.848
_cell_length_b 2.848
_cell_length_c 8.044
_cell_angle_alpha 90.00
_cell_angle_beta 90.00
_cell_angle_gamma 90.00
_symmetry_space_group_name_H-M 'P 4/m m m'
_symmetry_Int_Tables_number 123
_symmetry_space_group_name_Hall '-P 4 2'
loop_
_atom_site_label
_atom_site_type_symbol
_atom_site_fract_x
_atom_site_fract_y
_atom_site_fract_z
In1 In 0.000 0.000 0.238
Fe1 Fe 0.500 0.500 0.000
Re1 Re 0.500 0.500 0.500

Model b:
# In2FeRe (PBEsol, optimized geometry)
# Density of states at the Fermi level: 1.003 states/eV/atom
data_In2FeRe
_cell_length_a 6.383
_cell_length_b 6.383
_cell_length_c 6.383
_cell_angle_alpha 90.00
_cell_angle_beta 90.00
_cell_angle_gamma 90.00
_symmetry_space_group_name_H-M 'F m -3 m'
_symmetry_Int_Tables_number 225
_symmetry_space_group_name_Hall '-F 4 2 3'
loop_
_atom_site_label
_atom_site_type_symbol
_atom_site_fract_x
_atom_site_fract_y
_atom_site_fract_z
In1 In 0.250 0.250 0.250
Fe1 Fe 0.000 0.000 0.000
Re1 Re 0.000 0.000 0.500

Model c:
# In2FeRe (PBEsol, optimized geometry)
# Density of states at the Fermi level: 0.963 states/eV/atom
data_In2FeRe
_cell_length_a 3.998
_cell_length_b 3.998
_cell_length_c 8.343
_cell_angle_alpha 90.00
_cell_angle_beta 90.00
_cell_angle_gamma 90.00
_symmetry_space_group_name_H-M 'I 4/m m m'
_symmetry_Int_Tables_number 139
_symmetry_space_group_name_Hall '-I 4 2'
loop_
_atom_site_label
_atom_site_type_symbol
_atom_site_fract_x
_atom_site_fract_y
_atom_site_fract_z
In1 In 0.000 0.500 0.250
Fe1 Fe 0.000 0.000 0.000
Re1 Re 0.000 0.000 0.500

model c comes first in stability; the runner-up is 1.5 kJ/mol of atoms higher.

Model a:
# K2FeIr (PBEsol, optimized geometry)
# Density of states at the Fermi level: 1.488 states/eV/atom
data_K2FeIr
_cell_length_a 2.731
_cell_length_b 2.731
_cell_length_c 10.967
_cell_angle_alpha 90.00
_cell_angle_beta 90.00
_cell_angle_gamma 90.00
_symmetry_space_group_name_H-M 'P 4/m m m'
_symmetry_Int_Tables_number 123
_symmetry_space_group_name_Hall '-P 4 2'
loop_
_atom_site_label
_atom_site_type_symbol
_atom_site_fract_x
_atom_site_fract_y
_atom_site_fract_z
K1 K 0.000 0.000 0.236
Fe1 Fe 0.500 0.500 0.500
Ir1 Ir 0.500 0.500 0.000

Model b:
# K2FeIr (PBEsol, optimized geometry)
# Density of states at the Fermi level: 0.969 states/eV/atom
data_K2FeIr
_cell_length_a 4.318
_cell_length_b 4.318
_cell_length_c 5.230
_cell_angle_alpha 90.00
_cell_angle_beta 90.00
_cell_angle_gamma 90.00
_symmetry_space_group_name_H-M 'P 4/m m m'
_symmetry_Int_Tables_number 123
_symmetry_space_group_name_Hall '-P 4 2'
loop_
_atom_site_label
_atom_site_type_symbol
_atom_site_fract_x
_atom_site_fract_y
_atom_site_fract_z
K1 K 0.000 0.000 0.247
Fe1 Fe 0.500 0.500 0.500
Ir1 Ir 0.500 0.500 0.000

model a comes first in stability; the runner-up is 16.6 kJ/mol of atoms higher.

Model a:
# FeMoIr2 (PBEsol, optimized geometry)
# Density of states at the Fermi level: 0.792 states/eV/atom
data_FeMoIr2
_cell_length_a 3.763
_cell_length_b 3.763
_cell_length_c 3.760
_cell_angle_alpha 90.00
_cell_angle_beta 90.00
_cell_angle_gamma 90.00
_symmetry_space_group_name_H-M 'P 4/m m m'
_symmetry_Int_Tables_number 123
_symmetry_space_group_name_Hall '-P 4 2'
loop_
_atom_site_label
_atom_site_type_symbol
_atom_site_fract_x
_atom_site_fract_y
_atom_site_fract_z
Fe1 Fe 0.000 0.000 0.000
Mo1 Mo 0.500 0.500 0.000
Ir1 Ir 0.000 0.500 0.500

Model b:
# FeMoIr2 (PBEsol, optimized geometry)
# Density of states at the Fermi level: 1.407 states/eV/atom
data_FeMoIr2
_cell_length_a 3.181
_cell_length_b 3.181
_cell_length_c 5.488
_cell_angle_alpha 90.00
_cell_angle_beta 90.00
_cell_angle_gamma 90.00
_symmetry_space_group_name_H-M 'P 4 m m'
_symmetry_Int_Tables_number 99
_symmetry_space_group_name_Hall 'P 4 -2'
loop_
_atom_site_label
_atom_site_type_symbol
_atom_site_fract_x
_atom_site_fract_y
_atom_site_fract_z
Fe1 Fe 0.000 0.000 0.000
Mo1 Mo 0.500 0.500 0.744
Ir1 Ir 0.000 0.000 0.495
Ir2 Ir 0.500 0.500 0.208

model a comes first in stability; the runner-up is 35.7 kJ/mol of atoms higher.

Model a:
# FeIr2Os (PBEsol, optimized geometry)
# Density of states at the Fermi level: 1.054 states/eV/atom
data_FeIr2Os
_cell_length_a 2.688
_cell_length_b 3.743
_cell_length_c 5.306
_cell_angle_alpha 90.00
_cell_angle_beta 90.00
_cell_angle_gamma 90.00
_symmetry_space_group_name_H-M 'P m m m'
_symmetry_Int_Tables_number 47
_symmetry_space_group_name_Hall '-P 2 2'
loop_
_atom_site_label
_atom_site_type_symbol
_atom_site_fract_x
_atom_site_fract_y
_atom_site_fract_z
Fe1 Fe 0.000 0.000 0.000
Ir1 Ir 0.500 0.500 0.245
Os1 Os 0.000 0.000 0.500

Model b:
# FeIr2Os (PBEsol, optimized geometry)
# Density of states at the Fermi level: 1.067 states/eV/atom
data_FeIr2Os
_cell_length_a 8.840
_cell_length_b 2.675
_cell_length_c 4.585
_cell_angle_alpha 90.00
_cell_angle_beta 100.21
_cell_angle_gamma 90.00
_symmetry_space_group_name_H-M 'C 1 2/m 1'
_symmetry_Int_Tables_number 12
_symmetry_space_group_name_Hall '-C 2y'
loop_
_atom_site_label
_atom_site_type_symbol
_atom_site_fract_x
_atom_site_fract_y
_atom_site_fract_z
Fe1 Fe 0.000 0.000 0.000
Ir1 Ir 0.249 0.500 0.247
Os1 Os 0.000 0.500 0.500

model a comes first in stability; the runner-up is 3.5 kJ/mol of atoms higher.

Model a:
# FeIr2Os (PBEsol, optimized geometry)
# Density of states at the Fermi level: 1.024 states/eV/atom
data_FeIr2Os
_cell_length_a 3.739
_cell_length_b 3.739
_cell_length_c 7.497
_cell_angle_alpha 90.00
_cell_angle_beta 90.00
_cell_angle_gamma 90.00
_symmetry_space_group_name_H-M 'I -4 m 2'
_symmetry_Int_Tables_number 119
_symmetry_space_group_name_Hall 'I -4 -2'
loop_
_atom_site_label
_atom_site_type_symbol
_atom_site_fract_x
_atom_site_fract_y
_atom_site_fract_z
Fe1 Fe 0.000 0.000 0.000
Ir1 Ir 0.000 0.000 0.500
Ir2 Ir 0.000 0.500 0.250
Os1 Os 0.000 0.500 0.750

Model b:
# FeIr2Os (PBEsol, optimized geometry)
# Density of states at the Fermi level: 1.185 states/eV/atom
data_FeIr2Os
_cell_length_a 5.302
_cell_length_b 7.503
_cell_length_c 2.672
_cell_angle_alpha 90.00
_cell_angle_beta 90.00
_cell_angle_gamma 90.00
_symmetry_space_group_name_H-M 'C m m m'
_symmetry_Int_Tables_number 65
_symmetry_space_group_name_Hall '-C 2 2'
loop_
_atom_site_label
_atom_site_type_symbol
_atom_site_fract_x
_atom_site_fract_y
_atom_site_fract_z
Fe1 Fe 0.000 0.000 0.000
Ir1 Ir 0.250 0.250 0.500
Os1 Os 0.000 0.500 0.000

model a comes first in stability; the runner-up is 0.6 kJ/mol of atoms higher.